Compound: CaNiAg3
Source: the Alexandria database
Functional: GGA-PBE
Structure: relaxed

Lattice parameters (Å, degrees): 5.2342 5.2342 5.2342 90.00 90.00 90.00
Last column: nearest neighbours and their distance in Å.
Sites, in units of the cell vectors:
1 Ag 0.0000 0.0000 0.5000  2 Ca 2.62
2 Ag 0.0000 0.5000 0.0000  2 Ca 2.62
3 Ag 0.5000 0.0000 0.0000  2 Ca 2.62
4 Ca 0.0000 0.0000 0.0000  6 Ag 2.62
5 Ni 0.5000 0.5000 0.5000  12 Ag 3.70

Calculated values
**N(E_F)**: 6.3 states/eV/f.u.
**Calculated formation energy**: 1.372 eV/atom
**Symmetry**: No. 221
**Polymorph energy (0 for the lowest one)**: 1183 meV/atom
**Electronic total energy**: -1.896 eV per atom

***

Compound: NbZnAu
Source: the Alexandria database
Functional: GGA-PBE
Structure: relaxed

Lattice parameters (Å, degrees): 2.9537 2.9537 6.1128 103.98 103.98 90.00
Last column: nearest neighbours and their distance in Å.
Sites, in units of the cell vectors:
1 Nb 0.6725 0.6725 0.3449  4 Zn 2.80, 4 Au 2.94, 4 Nb 2.95
2 Au 0.9929 0.9929 0.9859  4 Zn 2.77, 4 Nb 2.94, 4 Au 2.95
3 Zn 0.3346 0.3346 0.6692  4 Au 2.77, 4 Nb 2.80, 4 Zn 2.95

Calculated values
**N(E_F)**: 0.5 states/eV/f.u.
**Calculated formation energy**: -0.158 eV/atom
**Symmetry**: No. 107
**Electronic total energy**: -5.032 eV per atom

***

Compound: TmBe2SiOs
Source: the Alexandria database
Functional: GGA-PBE
Structure: relaxed

Lattice parameters (Å, degrees): 3.7831 3.7823 5.7248 109.29 109.29 90.00
Last column: nearest neighbours and their distance in Å.
Sites, in units of the cell vectors:
1 Os 0.1864 0.6864 0.3729  2 Be 2.28, 2 Si 2.37
2 Be 0.0612 0.0612 0.1224  2 Os 2.28, 2 Be 2.29, 1 Si 2.37
3 Tm 0.4479 0.4479 0.8958  8 Be 2.91-3.23, 4 Si 2.94, 4 Os 3.07-3.25
4 Be 0.6895 0.1895 0.3790  2 Be 2.29, 2 Si 2.35
5 Si 0.8271 0.8271 0.6543  3 Be 2.35-2.37, 2 Os 2.37

Calculated values
**N(E_F)**: 3.6 states/eV/f.u.
**Symmetry**: No. 44
**Raw formation energy**: -0.352 eV per atom
**Electronic total energy**: -6.067 eV per atom

***

Compound: Mg2ScSb
Source: the Alexandria database
Functional: GGA-PBE
Structure: relaxed

Lattice parameters (Å, degrees): 4.3530 4.3530 4.6689 90.00 90.00 90.00
Last column: nearest neighbours and their distance in Å.
Sites, in units of the cell vectors:
1 Sb 0.5000 0.0000 0.5000  4 Sc 3.08, 8 Mg 3.19
2 Sc 0.0000 0.5000 0.5000  4 Sb 3.08, 8 Mg 3.19
3 Mg 0.5000 0.5000 0.0000  4 Mg 3.08, 4 Sb 3.19, 4 Sc 3.19
4 Mg 0.0000 0.0000 0.0000  4 Mg 3.08, 4 Sb 3.19, 4 Sc 3.19

Calculated values
**N(E_F)**: 2.7 states/eV/f.u.
**Symmetry**: No. 123
**Raw formation energy**: -0.379 eV per atom
**Electronic total energy**: -3.790 eV per atom

***

Compound: In2TeMo
Source: the Alexandria database
Functional: GGA-PBE
Structure: relaxed

Lattice parameters (Å, degrees): 3.1490 3.1490 9.5632 90.00 90.00 89.99
Last column: nearest neighbours and their distance in Å.
Sites, in units of the cell vectors:
1 In 0.0000 0.0000 0.0546  4 Mo 2.91, 4 In 3.15
2 In 0.0000 0.0000 0.4454  4 Mo 2.91, 4 In 3.15
3 Mo 0.5000 0.5000 0.2500  8 In 2.91, 4 Mo 3.15
4 Te 0.5000 0.5000 0.7500  4 Te 3.15

Calculated values
**N(E_F)**: 2.8 states/eV/f.u.
**Symmetry**: No. 123
**Raw formation energy**: 0.414 eV per atom
**Electronic total energy**: -4.448 eV per atom

***

Compound: TaTi
Source: the Alexandria database
Functional: GGA-PBE
Structure: relaxed

Lattice parameters (Å, degrees): 7.4226 8.0398 9.9692 90.00 90.00 90.00
Last column: nearest neighbours and their distance in Å.
Sites, in units of the cell vectors:
1 Ta 0.5000 0.8277 0.0000  6 Ti 2.64-2.92, 1 Ta 2.77
2 Ta 0.7500 0.0777 0.7500  6 Ti 2.64-2.92, 1 Ta 2.77
3 Ti 0.5795 0.2500 0.2500  1 Ti 2.53, 4 Ta 2.64-2.81
4 Ta 0.5000 0.1723 0.0000  6 Ti 2.64-2.92, 1 Ta 2.77
5 Ta 0.5000 0.3277 0.5000  6 Ti 2.64-2.92, 1 Ta 2.77
6 Ti 0.0795 0.2500 0.7500  1 Ti 2.53, 4 Ta 2.64-2.81
7 Ta 0.0000 0.6723 0.0000  6 Ti 2.64-2.92, 1 Ta 2.77
8 Ta 0.0000 0.8277 0.5000  6 Ti 2.64-2.92, 1 Ta 2.77
9 Ti 0.5795 0.7500 0.7500  1 Ti 2.53, 4 Ta 2.64-2.81
10 Ti 0.3295 0.0000 0.5000  1 Ti 2.53, 4 Ta 2.64-2.81
11 Ta 0.7500 0.9223 0.2500  6 Ti 2.64-2.92, 1 Ta 2.77
12 Ti 0.9205 0.7500 0.7500  1 Ti 2.53, 4 Ta 2.64-2.81
13 Ta 0.2500 0.4223 0.2500  6 Ti 2.64-2.92, 1 Ta 2.77
14 Ta 0.2500 0.9223 0.7500  6 Ti 2.64-2.92, 1 Ta 2.77
15 Ti 0.8295 0.0000 0.0000  1 Ti 2.53, 4 Ta 2.64-2.81
16 Ti 0.0795 0.7500 0.2500  1 Ti 2.53, 4 Ta 2.64-2.81
17 Ti 0.4205 0.7500 0.2500  1 Ti 2.53, 4 Ta 2.64-2.81
18 Ta 0.0000 0.3277 0.0000  6 Ti 2.64-2.92, 1 Ta 2.77
19 Ta 0.0000 0.1723 0.5000  6 Ti 2.64-2.92, 1 Ta 2.77
20 Ti 0.9205 0.2500 0.2500  1 Ti 2.53, 4 Ta 2.64-2.81
21 Ta 0.7500 0.5777 0.2500  6 Ti 2.64-2.92, 1 Ta 2.77
22 Ti 0.6705 0.0000 0.5000  1 Ti 2.53, 4 Ta 2.64-2.81
23 Ti 0.8295 0.5000 0.5000  1 Ti 2.53, 4 Ta 2.64-2.81
24 Ta 0.2500 0.5777 0.7500  6 Ti 2.64-2.92, 1 Ta 2.77
25 Ta 0.2500 0.0777 0.2500  6 Ti 2.64-2.92, 1 Ta 2.77
26 Ti 0.3295 0.5000 0.0000  1 Ti 2.53, 4 Ta 2.64-2.81
27 Ta 0.5000 0.6723 0.5000  6 Ti 2.64-2.92, 1 Ta 2.77
28 Ti 0.1705 0.0000 0.0000  1 Ti 2.53, 4 Ta 2.64-2.81
29 Ta 0.7500 0.4223 0.7500  6 Ti 2.64-2.92, 1 Ta 2.77
30 Ti 0.4205 0.2500 0.7500  1 Ti 2.53, 4 Ta 2.64-2.81
31 Ti 0.1705 0.5000 0.5000  1 Ti 2.53, 4 Ta 2.64-2.81
32 Ti 0.6705 0.5000 0.0000  1 Ti 2.53, 4 Ta 2.64-2.81

Calculated values
**N(E_F)**: 2.3 states/eV/f.u.
**Calculated formation energy**: 0.555 eV/atom
**Symmetry**: No. 70
**Electronic total energy**: -9.319 eV per atom

***

Compound: Ac2TbNd5Y
Source: the Alexandria database
Functional: GGA-PBE
Structure: relaxed

Lattice parameters (Å, degrees): 5.8446 10.8379 10.9696 90.00 90.00 105.64
Last column: nearest neighbours and their distance in Å.
Sites, in units of the cell vectors:
1 Tb 0.2055 0.4109 0.0086  2 Ac 3.58-3.84, 8 Nd 3.61-3.91, 2 Y 3.77
2 Nd 0.7057 0.4115 0.2015  1 Y 3.47, 2 Nd 3.52, 3 Tb 3.61-3.85, 3 Ac 3.68-3.81
3 Ac 0.8828 0.7657 0.8161  8 Nd 3.42-3.69
4 Nd 0.2807 0.5614 0.3095  1 Y 3.15, 1 Ac 3.42, 2 Nd 3.52
5 Nd 0.2943 0.5885 0.7015  1 Y 3.47, 2 Nd 3.52, 3 Tb 3.61-3.85, 3 Ac 3.68-3.81
6 Tb 0.7945 0.5891 0.5086  2 Ac 3.58-3.84, 8 Nd 3.61-3.91, 2 Y 3.77
7 Ac 0.1172 0.2343 0.3161  8 Nd 3.42-3.69
8 Nd 0.6119 0.2237 0.5217  6 Nd 3.62-4.02, 4 Ac 3.69-3.74, 1 Tb 3.82
9 Ac 0.8873 0.7746 0.2338  1 Tb 3.58, 9 Nd 3.59-3.98, 2 Y 3.91
10 Nd 0.5167 0.0333 0.2438  2 Y 3.36-3.42, 2 Nd 3.62-3.64, 2 Ac 3.68
11 Y 0.5934 0.1868 0.9680  6 Nd 3.15-3.47
12 Ac 0.1127 0.2254 0.7338  1 Tb 3.58, 9 Nd 3.59-3.98, 2 Y 3.91
13 Nd 0.7193 0.4386 0.8095  1 Y 3.15, 1 Ac 3.42, 2 Nd 3.52
14 Nd 0.3881 0.7763 0.0217  6 Nd 3.62-4.02, 4 Ac 3.69-3.74, 1 Tb 3.82
15 Nd 0.9819 0.9638 0.5210  2 Y 3.37, 3 Ac 3.59-3.72
16 Nd 0.4833 0.9667 0.7438  2 Y 3.36-3.42, 2 Nd 3.62-3.64, 2 Ac 3.68
17 Y 0.4066 0.8132 0.4680  6 Nd 3.15-3.47
18 Nd 0.0181 0.0362 0.0210  2 Y 3.37, 3 Ac 3.59-3.72

Calculated values
**N(E_F)**: 12.8 states/eV/f.u.
**Calculated formation energy**: 0.135 eV/atom
**Symmetry**: No. 36
**Electronic total energy**: -4.660 eV per atom

***

Compound: Tb2Al2InPd5
Source: the Alexandria database
Functional: GGA-PBE
Structure: relaxed

Lattice parameters (Å, degrees): 3.7205 10.0097 10.0097 90.00 90.00 90.00
Last column: nearest neighbours and their distance in Å.
Sites, in units of the cell vectors:
1 Pd 0.5000 0.4352 0.2857  2 Al 2.56
2 Pd 0.5000 0.2857 0.5648  2 Al 2.56
3 In 0.0000 0.5000 0.5000  8 Pd 2.91
4 In 0.0000 0.0000 0.0000  8 Pd 2.91
5 Al 0.0000 0.1177 0.6177  6 Pd 2.50-2.56
6 Pd 0.5000 0.7143 0.4352  2 Al 2.56
7 Tb 0.0000 0.6794 0.1794  3 Al 2.87-3.04, 6 Pd 3.15-3.18
8 Tb 0.0000 0.3206 0.8206  3 Al 2.87-3.04, 6 Pd 3.15-3.18
9 Tb 0.0000 0.8206 0.6794  3 Al 2.87-3.04, 6 Pd 3.15-3.18
10 Pd 0.5000 0.5000 0.0000  4 Al 2.50
11 Pd 0.5000 0.7857 0.9352  2 Al 2.56
12 Pd 0.5000 0.0000 0.5000  4 Al 2.50
13 Pd 0.5000 0.9352 0.2143  2 Al 2.56
14 Al 0.0000 0.8823 0.3823  6 Pd 2.50-2.56
15 Pd 0.5000 0.5648 0.7143  2 Al 2.56
16 Pd 0.5000 0.2143 0.0648  2 Al 2.56
17 Al 0.0000 0.6177 0.8823  6 Pd 2.50-2.56
18 Pd 0.5000 0.0648 0.7857  2 Al 2.56
19 Tb 0.0000 0.1794 0.3206  3 Al 2.87-3.04, 6 Pd 3.15-3.18
20 Al 0.0000 0.3823 0.1177  6 Pd 2.50-2.56

Calculated values
**N(E_F)**: 6.9 states/eV/f.u.
**Calculated formation energy**: -0.767 eV/atom
**Symmetry**: No. 127
**Electronic total energy**: -5.311 eV per atom